Compound: Cr2AgAs
Source: Alexandria
Functional: PBE-GGA
Structure: relaxed

Total DFT energy (no corrections), eV/cell: -25.06
Space group: No. 10
ΔE_f, kJ/mol of formula units: 163

Cell and atoms, written as extended XYZ:
```
4
Lattice="3.7815 0.0000 0.0000 0.0000 2.9702 0.0059 0.0000 2.0502 5.3727" Properties=species:S:1:pos:R:3 pbc="T T T"
Ag 1.8907 1.2551 1.3447
As 1.8907 3.7653 4.0340
Cr 0.0000 4.8745 5.0164
Cr 0.0000 2.6561 3.0516
```